(1)
# NpInF4

A relaxed structure of NpInF4 (PBE, the Alexandria database).

a b c (Å): 3.7654 6.0990 19.8006
angles (deg): 90.00 100.54 90.00
With the nearest neighbours (Å) after each atom.
Atoms (fractional coordinates):
Np 0.1997 0.2484 0.4486  9 F 2.32-2.52
Np 0.1997 0.2516 0.9486  9 F 2.32-2.52
Np 0.8003 0.7484 0.0514  9 F 2.32-2.52
Np 0.8003 0.7516 0.5514  9 F 2.32-2.52
In 0.4937 0.5863 0.7429  2 F 2.47-2.48
In 0.4937 0.9137 0.2429  2 F 2.47-2.48
In 0.5063 0.0863 0.7571  2 F 2.47-2.48
In 0.5063 0.4137 0.2571  2 F 2.47-2.48
F 0.0844 0.0975 0.8398  1 Np 2.32, 2 In 2.47-2.48
F 0.0844 0.4025 0.3398  1 Np 2.32, 2 In 2.47-2.48
F 0.2222 0.6351 0.9734  3 Np 2.39-2.52, 2 F 2.64-2.67
F 0.2222 0.8649 0.4734  3 Np 2.39-2.52, 2 F 2.64-2.67
F 0.2961 0.0045 0.0474  3 Np 2.44-2.45, 4 F 2.63-2.71
F 0.2961 0.4955 0.5474  3 Np 2.44-2.45, 4 F 2.63-2.71
F 0.3579 0.6049 0.1087  2 Np 2.35-2.36
F 0.3579 0.8951 0.6087  2 Np 2.35-2.36
F 0.6421 0.1049 0.3913  2 Np 2.35-2.36
F 0.6421 0.3951 0.8913  2 Np 2.35-2.36
F 0.7039 0.5045 0.4526  3 Np 2.44-2.45, 4 F 2.63-2.71
F 0.7039 0.9955 0.9526  3 Np 2.44-2.45, 4 F 2.63-2.71
F 0.7778 0.1351 0.5266  3 Np 2.39-2.52, 2 F 2.64-2.67
F 0.7778 0.3649 0.0266  3 Np 2.39-2.52, 2 F 2.64-2.67
F 0.9156 0.5975 0.6602  1 Np 2.32, 2 In 2.47-2.48
F 0.9156 0.9025 0.1602  1 Np 2.32, 2 In 2.47-2.48

Space-group type: No. 14
Formation energy from raw total energies (eV/atom): -2.861
Density of states at the Fermi level (states/eV/cell): 17.97
V (Å³/cell): 447.0


(2)
# NpInF6

A relaxed structure of NpInF6 (PBE, the Alexandria database).

a b c (Å): 5.8235 5.8449 6.8355
angles (deg): 65.10 64.87 60.36
With the nearest neighbours (Å) after each atom.
Atoms (fractional coordinates):
Np 0.0000 0.0000 0.0000  6 F 2.09
In 0.5000 0.5000 0.5000  6 F 2.68
F 0.0837 0.7720 0.7935  1 Np 2.09
F 0.2265 0.6531 0.2062  1 Np 2.09
F 0.3505 0.0841 0.7930  1 Np 2.09
F 0.6495 0.9159 0.2070  1 Np 2.09
F 0.7735 0.3469 0.7938  1 Np 2.09
F 0.9163 0.2280 0.2065  1 Np 2.09

Space-group type: No. 2
Excess energy over the best structure of this formula in the dataset (eV/atom): 0.000
Formation energy from raw total energies (eV/atom): -2.938
Density of states at the Fermi level (states/eV/cell): 8.59
V (Å³/cell): 176.4


(3)
# NpInF6

A relaxed structure of NpInF6 (PBE, the Alexandria database).

a b c (Å): 5.4115 5.4115 5.3833
angles (deg): 94.56 94.56 97.39
With the nearest neighbours (Å) after each atom.
Atoms (fractional coordinates):
Np 0.0000 0.0000 0.0000  6 F 2.08-2.09
In 0.5000 0.5000 0.5000  6 F 2.80-3.02
F 0.0840 0.7287 0.7364  1 Np 2.08
F 0.2678 0.2678 0.8827  1 Np 2.09
F 0.2713 0.9160 0.2636  1 Np 2.08
F 0.7287 0.0840 0.7364  1 Np 2.08
F 0.7322 0.7322 0.1173  1 Np 2.09
F 0.9160 0.2713 0.2636  1 Np 2.08

Space-group type: No. 12
Excess energy over the best structure of this formula in the dataset (eV/atom): 0.017
Formation energy from raw total energies (eV/atom): -2.920
Density of states at the Fermi level (states/eV/cell): 8.22
V (Å³/cell): 155.2


(4)
# NpIn2F4

A relaxed structure of NpIn2F4 (PBE, the Alexandria database).

a b c (Å): 9.7491 9.7491 9.7491
angles (deg): 152.99 152.99 38.57
With the nearest neighbours (Å) after each atom.
Atoms (fractional coordinates):
Np 0.0000 0.0000 0.0000  6 F 2.21-2.28
In 0.2476 0.2476 0.0000  1 F 2.35
In 0.7524 0.7524 0.0000  1 F 2.35
F 0.0000 0.5000 0.5000  2 Np 2.28
F 0.1202 0.1202 0.0000  1 Np 2.21, 1 In 2.35
F 0.5000 0.0000 0.5000  2 Np 2.28
F 0.8798 0.8798 0.0000  1 Np 2.21, 1 In 2.35

Space-group type: No. 139
Formation energy from raw total energies (eV/atom): -2.391
Density of states at the Fermi level (states/eV/cell): 10.04
V (Å³/cell): 190.8